(1)
VASP calculation (PBE) on an optimized crystal structure of ZrHIrRu2.

Properties
DOS(E_F)	0.83	states/eV per atom
spin magnetization	0.00	μB per formula unit
energy relative to the lowest polymorph listed for this composition	0	meV/atom

a b c (Å): 3.9392 3.9392 4.1746
angles (deg): 90.00 90.00 90.00
Atoms (fractional coordinates):
H1 0.0000 0.0000 0.0000
Ru1 0.0000 0.5000 0.0000
Zr1 0.0000 0.0000 0.5000
Ru2 0.5000 0.0000 0.0000
Ir1 0.5000 0.5000 0.5000

(2)
VASP calculation (PBE) on an optimized crystal structure of HIrSeS.

Properties
E	-20.91	eV per cell
DOS(E_F)	0.00	states/eV per atom
spin magnetization	0.00	μB per formula unit

a b c (Å): 3.7322 3.7319 8.3756
angles (deg): 131.25 64.06 120.01
Atoms (fractional coordinates):
H1 0.5885 0.3483 0.6300
S1 0.5157 0.6440 0.8533
Se1 0.7285 0.8038 0.2274
Ir1 0.1295 0.1935 0.0173

(3)
VASP calculation (PBE) on an optimized crystal structure of Sn2HIrS.

Properties
E	-23.36	eV per cell
DOS(E_F)	0.35	states/eV per atom
spin magnetization	0.00	μB per formula unit

a b c (Å): 5.0938 3.3669 5.0938
angles (deg): 90.00 90.00 90.00
Atoms (fractional coordinates):
S1 0.5000 0.5000 0.5000
Sn1 0.5000 0.0000 0.0000
Ir1 0.0000 0.5000 0.0000
H1 0.0000 0.0000 0.0000
Sn2 0.0000 0.0000 0.5000

(4)
VASP calculation (PBE) on an optimized crystal structure of TlHIrS2.

Properties
E	-17.47	eV per cell
DOS(E_F)	0.62	states/eV per atom
spin magnetization	0.00	μB per formula unit

a b c (Å): 5.0836 3.3869 5.0836
angles (deg): 90.00 90.00 90.00
Atoms (fractional coordinates):
S1 0.0000 0.0000 0.5000
Ir1 0.5000 0.5000 0.5000
H1 0.0000 0.5000 0.0000
S2 0.5000 0.0000 0.0000
Tl1 0.0000 0.0000 0.0000

(5)
VASP calculation (PBE) on an optimized crystal structure of SbHIr2.

Properties
DOS(E_F)	0.05	states/eV per atom
spin magnetization	0.00	μB per formula unit
energy relative to the lowest polymorph listed for this composition	0	meV/atom

a b c (Å): 5.1222 5.1222 5.7787
angles (deg): 63.69 63.69 90.00
Atoms (fractional coordinates):
Sb1 0.0000 0.0000 0.0000
Ir1 0.3750 0.5141 0.7500
H1 0.2500 0.7500 0.5000
H2 0.5000 0.5000 0.0000
Ir2 0.8750 0.7359 0.7500
Ir3 0.2641 0.6250 0.2500
Sb2 0.7500 0.2500 0.5000
Ir4 0.4859 0.1250 0.2500

(6)
VASP calculation (PBE) on an optimized crystal structure of SbHIr2.

Properties
DOS(E_F)	0.06	states/eV per atom
spin magnetization	0.00	μB per formula unit
energy relative to the lowest polymorph listed for this composition	321	meV/atom

a b c (Å): 4.3119 4.3119 4.3119
angles (deg): 60.00 60.00 60.00
Atoms (fractional coordinates):
Sb1 0.5000 0.5000 0.5000
Ir1 0.2500 0.2500 0.2500
Ir2 0.7500 0.7500 0.7500
H1 0.0000 0.0000 0.0000

(7)
VASP calculation (PBE) on an optimized crystal structure of Sb2HIr.

Properties
DOS(E_F)	0.31	states/eV per atom
spin magnetization	0.00	μB per formula unit
energy relative to the lowest polymorph listed for this composition	0	meV/atom

a b c (Å): 4.5545 4.5545 4.5545
angles (deg): 60.00 60.00 60.00
Atoms (fractional coordinates):
Sb1 0.7500 0.7500 0.7500
Ir1 0.5000 0.5000 0.5000
H1 0.0000 0.0000 0.0000
Sb2 0.2500 0.2500 0.2500

(8)
VASP calculation (PBE) on an optimized crystal structure of SbH2Ir.

Properties
DOS(E_F)	0.66	states/eV per atom
spin magnetization	0.00	μB per formula unit
energy relative to the lowest polymorph listed for this composition	580	meV/atom

a b c (Å): 4.0129 4.0129 4.0129
angles (deg): 60.00 60.00 60.00
Atoms (fractional coordinates):
H1 0.7500 0.7500 0.7500
H2 0.2500 0.2500 0.2500
Ir1 0.5000 0.5000 0.5000
Sb1 0.0000 0.0000 0.0000

(9)
VASP calculation (PBE) on an optimized crystal structure of SbH2Ir2.

Properties
E	-26.87	eV per cell
DOS(E_F)	0.38	states/eV per atom
spin magnetization	0.00	μB per formula unit

a b c (Å): 3.3526 3.3526 5.6613
angles (deg): 72.78 72.78 90.00
Atoms (fractional coordinates):
Ir1 0.3533 0.3533 0.2934
H1 0.7500 0.2500 0.5000
Sb1 0.0000 0.0000 0.0000
H2 0.2500 0.7500 0.5000
Ir2 0.6467 0.6467 0.7066

(10)
VASP calculation (PBE) on an optimized crystal structure of Sb2HIr.

Properties
DOS(E_F)	0.32	states/eV per atom
spin magnetization	0.00	μB per formula unit
energy relative to the lowest polymorph listed for this composition	174	meV/atom

a b c (Å): 5.5347 5.5347 6.7625
angles (deg): 65.84 65.84 90.00
Atoms (fractional coordinates):
Ir1 0.7500 0.2500 0.5000
Ir2 0.0000 0.0000 0.0000
Sb1 0.5793 0.1250 0.2500
Sb2 0.8750 0.8293 0.7500
Sb3 0.1707 0.6250 0.2500
H1 0.2500 0.7500 0.5000
H2 0.5000 0.5000 0.0000
Sb4 0.3750 0.4207 0.7500

(11)
VASP calculation (PBE) on an optimized crystal structure of SbHIr3.

Properties
DOS(E_F)	2.52	states/eV per atom
spin magnetization	2.03	μB per formula unit
energy relative to the lowest polymorph listed for this composition	2165	meV/atom

a b c (Å): 4.9071 4.9071 4.9071
angles (deg): 90.00 90.00 90.00
Last column: magnetic moment on the atom in μB.
Atoms (fractional coordinates):
Sb1 0.0000 0.0000 0.0000  -0.02
H1 0.5000 0.5000 0.5000  0.29
Ir1 0.5000 0.0000 0.0000  0.43
Ir2 0.0000 0.5000 0.0000  0.50
Ir3 0.0000 0.0000 0.5000  0.49

(12)
VASP calculation (PBE) on an optimized crystal structure of SbH2Ir.

Properties
DOS(E_F)	0.42	states/eV per atom
spin magnetization	0.00	μB per formula unit
energy relative to the lowest polymorph listed for this composition	0	meV/atom

a b c (Å): 4.0691 4.0691 6.5780
angles (deg): 71.98 71.98 90.00
Atoms (fractional coordinates):
H1 0.3750 0.1245 0.7500
Ir1 0.0000 0.0000 0.0000
Sb1 0.2500 0.7500 0.5000
H2 0.8750 0.1255 0.7500
Sb2 0.5000 0.5000 0.0000
Ir2 0.7500 0.2500 0.5000
H3 0.8755 0.1250 0.2500
H4 0.8745 0.6250 0.2500

(13)
VASP calculation (PBE) on an optimized crystal structure of SbHIr3.

Properties
DOS(E_F)	0.51	states/eV per atom
spin magnetization	0.00	μB per formula unit
energy relative to the lowest polymorph listed for this composition	0	meV/atom

a b c (Å): 4.0460 4.0460 4.0460
angles (deg): 90.00 90.00 90.00
Atoms (fractional coordinates):
Ir1 0.0000 0.5000 0.0000
Sb1 0.5000 0.5000 0.5000
Ir2 0.0000 0.0000 0.5000
Ir3 0.5000 0.0000 0.0000
H1 0.0000 0.0000 0.0000

(14)
VASP calculation (PBE) on an optimized crystal structure of Sc2SbHIr.

Properties
E	-32.19	eV per cell
DOS(E_F)	0.65	states/eV per atom
spin magnetization	0.00	μB per formula unit

a b c (Å): 4.4863 4.4863 3.9255
angles (deg): 90.00 90.00 90.00
Atoms (fractional coordinates):
Sb1 0.5000 0.5000 0.5000
Sc1 0.5000 0.0000 0.0000
H1 0.0000 0.0000 0.0000
Ir1 0.0000 0.0000 0.5000
Sc2 0.0000 0.5000 0.0000

(15)
VASP calculation (PBE) on an optimized crystal structure of TaSbH2Ir.

Properties
E	-29.99	eV per cell
DOS(E_F)	0.49	states/eV per atom
spin magnetization	0.00	μB per formula unit

a b c (Å): 3.7791 5.1676 3.7791
angles (deg): 90.00 90.00 90.00
Atoms (fractional coordinates):
Ta1 0.0000 0.0000 0.0000
Sb1 0.5000 0.5000 0.5000
H1 0.0000 0.0000 0.5000
Ir1 0.0000 0.5000 0.0000
H2 0.5000 0.0000 0.0000

(16)
VASP calculation (PBE) on an optimized crystal structure of TcSbHIr2.

Properties
E	-33.82	eV per cell
DOS(E_F)	0.73	states/eV per atom
spin magnetization	0.66	μB per formula unit

a b c (Å): 3.9125 4.3845 3.9125
angles (deg): 90.00 90.00 90.00
Last column: magnetic moment on the atom in μB.
Atoms (fractional coordinates):
Tc1 0.5000 0.5000 0.5000  0.50
Ir1 0.0000 0.0000 0.5000  0.01
Ir2 0.5000 0.0000 0.0000  0.07
Sb1 0.0000 0.5000 0.0000  0.00
H1 0.0000 0.0000 0.0000  0.00

(17)
VASP calculation (PBE) on an optimized crystal structure of ScHIr3.

Properties
DOS(E_F)	0.80	states/eV per atom
spin magnetization	0.00	μB per formula unit
energy relative to the lowest polymorph listed for this composition	232	meV/atom

a b c (Å): 20.2073 4.3898 6.5568
angles (deg): 90.00 151.88 90.00
Atoms (fractional coordinates):
Ir1 0.1947 0.0001 0.3075
Ir2 0.1439 0.5002 0.4325
Ir3 0.0983 0.5001 0.8954
Ir4 0.8053 0.9999 0.6925
Sc1 0.6107 0.4999 0.1219
Sc2 0.3893 0.5001 0.8781
H1 0.5001 0.2549 0.4998
Ir5 0.6947 0.4999 0.8075
Ir6 0.9017 0.4999 0.1046
H2 0.9999 0.7549 0.0002
Ir7 0.6439 0.9998 0.9325
Ir8 0.4017 0.0001 0.6046
Sc3 0.1107 0.0001 0.6219
Ir9 0.3053 0.5001 0.1925
Sc4 0.8893 0.9999 0.3781
Ir10 0.8561 0.4998 0.5675
H3 0.0001 0.2451 0.9998
Ir11 0.3561 0.0002 0.0675
H4 0.4999 0.7451 0.5002
Ir12 0.5983 0.9999 0.3954

(18)
VASP calculation (PBE) on an optimized crystal structure of ScHIr3.

Properties
DOS(E_F)	0.66	states/eV per atom
spin magnetization	0.00	μB per formula unit
energy relative to the lowest polymorph listed for this composition	165	meV/atom

a b c (Å): 4.6863 5.7396 4.8939
angles (deg): 90.00 88.74 90.00
Atoms (fractional coordinates):
Ir1 0.7198 0.7500 0.6785
Ir2 0.7379 0.5116 0.1575
Ir3 0.2621 0.4884 0.8425
Ir4 0.2621 0.0116 0.8425
Ir5 0.2802 0.2500 0.3215
Sc1 0.7573 0.2500 0.6696
H1 0.9079 0.2500 0.2670
Ir6 0.7379 0.9884 0.1575
Sc2 0.2427 0.7500 0.3304
H2 0.0921 0.7500 0.7330

(19)
VASP calculation (PBE) on an optimized crystal structure of ScHIr3.

Properties
DOS(E_F)	0.87	states/eV per atom
spin magnetization	0.00	μB per formula unit
energy relative to the lowest polymorph listed for this composition	1121	meV/atom

a b c (Å): 4.6436 4.6436 10.1558
angles (deg): 76.78 76.78 90.00
Atoms (fractional coordinates):
Sc1 0.2500 0.7500 0.5000
Ir1 0.1234 0.8791 0.7532
H1 0.8652 0.3652 0.2697
Ir2 0.6323 0.8766 0.2468
Ir3 0.1209 0.8766 0.2468
Ir4 0.1234 0.3677 0.7532
Ir5 0.3603 0.3603 0.2794
H2 0.6348 0.1348 0.7303
Ir6 0.6397 0.6397 0.7206
Sc2 0.0000 0.0000 0.0000

(20)
VASP calculation (PBE) on an optimized crystal structure of ScHIr3.

Properties
DOS(E_F)	0.76	states/eV per atom
spin magnetization	0.00	μB per formula unit
energy relative to the lowest polymorph listed for this composition	386	meV/atom

a b c (Å): 12.4869 7.6877 7.6877
angles (deg): 103.23 136.40 43.60
Atoms (fractional coordinates):
Ir1 0.8770 0.5872 0.1420
Ir2 0.0468 0.2274 0.9789
Ir3 0.0270 0.8872 0.8212
Sc1 0.6041 0.8297 0.4156
Sc2 0.3959 0.1703 0.5844
Ir4 0.9532 0.7726 0.0211
H1 0.2500 0.7802 0.2802
Ir5 0.5270 0.6788 0.6128
Ir6 0.3770 0.3580 0.9128
Sc3 0.8959 0.9156 0.3297
Sc4 0.1041 0.0844 0.6703
Ir7 0.9730 0.1128 0.1788
H2 0.7500 0.2198 0.7198
Ir8 0.5468 0.5211 0.2726
H3 0.7500 0.9892 0.4892
Ir9 0.4532 0.4789 0.7274
H4 0.2500 0.0108 0.5108
Ir10 0.1230 0.4128 0.8580
Ir11 0.6230 0.6420 0.0872
Ir12 0.4730 0.3212 0.3872